No. 1
Y2TiAlN SCAN single point on PBEsol structure; symmetry = No. 123; ΔE_f (raw) = 6.92 eV per formula unit; spin magnetization = 0.48 μB per atom; uncorrected energy = -16.37 eV per atom
1.0
-1.810 4.124 -1.583
-4.216 -2.441 -1.540
-2.140 0.814 4.567
Y N Al Ti
2 1 1 1
Cartesian
-1.070 0.407 2.284
-2.108 -1.221 -0.770
-4.083 1.249 0.722
-0.905 2.062 -0.792
0.000 0.000 0.000

No. 2
YPdSN2 SCAN single point on PBEsol structure; symmetry = No. 123; ΔE_f (raw) = 0.69 eV per formula unit; spin magnetization = 0.39 μB per atom; uncorrected energy = -17.63 eV per atom
1.0
3.956 0.000 0.000
0.000 3.956 0.000
0.000 0.000 4.666
Y Pd N S
1 1 2 1
Cartesian
1.978 1.978 2.333
0.000 0.000 0.000
1.978 0.000 0.000
0.000 1.978 0.000
0.000 0.000 2.333